Material: NaThTeN
Method: DFT, PBE
State: relaxed

Properties
V = 22.61 Å³ per atom
Final energy = -47.1 eV per cell
DOS(E_F) = 0.238 states/eV/atom

Geometry as CIF:
```
data_NaThTeN
_cell_length_a 3.476
_cell_length_b 3.476
_cell_length_c 14.970
_cell_angle_alpha 90.00
_cell_angle_beta 90.00
_cell_angle_gamma 90.00
_symmetry_space_group_name_H-M 'I 4 m m'
_symmetry_Int_Tables_number 107
_symmetry_space_group_name_Hall 'I 4 -2'
loop_
_atom_site_label
_atom_site_type_symbol
_atom_site_fract_x
_atom_site_fract_y
_atom_site_fract_z
Na1 Na 0.000 0.000 0.000
Th1 Th 0.000 0.000 0.706
Te1 Te 0.000 0.000 0.369
N1 N 0.000 0.000 0.160
```